1.
Density functional theory data (PBE) for crystalline SrSi2Ge2 at its relaxed geometry.

Lattice parameters (Å, degrees): 4.8317 4.8317 5.6947 64.90 64.90 90.00
With the nearest neighbours (Å) after each atom.
Fractional positions:
Si  0.6372  0.6372  0.7257  1 Si 2.50, 4 Ge 2.63
Si  0.3628  0.3628  0.2743  1 Si 2.50, 4 Ge 2.63
Sr  0.0000  0.0000  0.0000  10 Si 3.31-3.64, 8 Ge 3.32
Ge  0.2500  0.7500  0.5000  4 Si 2.63
Ge  0.7500  0.2500  0.5000  4 Si 2.63

The calculation puts the total DFT energy (no corrections) at -4.48 eV/atom. As for the space group: I4/mmm. The value obtained for the total magnetization is 0.0 μB per cell.

2.
Density functional theory data (PBE) for crystalline SrZnSi2Ge at its relaxed geometry.

Lattice parameters (Å, degrees): 5.6625 5.7619 5.6625 90.00 90.00 90.00
With the nearest neighbours (Å) after each atom.
Fractional positions:
Si  0.0000  0.0000  0.5000  2 Sr 2.83
Si  0.5000  0.0000  0.0000  2 Sr 2.83
Sr  0.0000  0.0000  0.0000  4 Si 2.83, 2 Ge 2.88
Ge  0.0000  0.5000  0.0000  2 Sr 2.88
Zn  0.5000  0.5000  0.5000  4 Ge 4.00, 8 Si 4.04

The calculation puts the total DFT energy (no corrections) at -2.10 eV/atom. As for the space group: P4/mmm. The value obtained for the total magnetization is 0.8 μB per cell.

3.
Density functional theory data (PBE) for crystalline Sr2Zn4Si3Ge at its relaxed geometry.

Lattice parameters (Å, degrees): 4.3259 4.3259 10.6021 90.00 90.00 90.00
With the nearest neighbours (Å) after each atom.
Fractional positions:
Zn  0.0000  0.0000  0.0000  4 Si 2.58
Zn  0.5000  0.0000  0.6356  3 Si 2.46-2.60, 2 Ge 2.60
Zn  0.5000  0.5000  0.0000  4 Si 2.58
Zn  0.0000  0.5000  0.3644  3 Si 2.46-2.60, 2 Ge 2.60
Ge  0.5000  0.5000  0.5000  4 Zn 2.60
Si  0.5000  0.0000  0.8679  5 Zn 2.46-2.58
Si  0.0000  0.0000  0.5000  4 Zn 2.60
Si  0.0000  0.5000  0.1321  5 Zn 2.46-2.58
Sr  0.5000  0.0000  0.2478  6 Si 3.30-3.44, 8 Zn 3.30-3.40, 2 Ge 3.44
Sr  0.0000  0.5000  0.7522  6 Si 3.30-3.44, 8 Zn 3.30-3.40, 2 Ge 3.44

The calculation puts the total DFT energy (no corrections) at -3.24 eV/atom. As for the space group: P-4m2. The value obtained for the total magnetization is 0.0 μB per cell.

4.
Density functional theory data (PBE) for crystalline SrZrSiGe2 at its relaxed geometry.

Lattice parameters (Å, degrees): 5.0481 5.0481 5.0551 90.00 90.00 90.00
With the nearest neighbours (Å) after each atom.
Fractional positions:
Ge  0.5000  0.0000  0.0000  2 Si 2.52
Ge  0.0000  0.5000  0.0000  2 Si 2.52
Si  0.0000  0.0000  0.0000  4 Ge 2.52, 2 Zr 2.53
Sr  0.5000  0.5000  0.5000  4 Zr 3.57, 8 Ge 3.57
Zr  0.0000  0.0000  0.5000  2 Si 2.53

The calculation puts the total DFT energy (no corrections) at -4.74 eV/atom. As for the space group: P4/mmm. The value obtained for the total magnetization is 1.2 μB per cell.

5.
Density functional theory data (PBE) for crystalline TaSiGe2 at its relaxed geometry.

Lattice parameters (Å, degrees): 5.9060 5.9060 6.9050 64.68 64.68 90.00
With the nearest neighbours (Å) after each atom.
Fractional positions:
Ge  0.6075  0.1250  0.2500  2 Si 2.44, 2 Ta 2.56
Ge  0.8750  0.8575  0.7500  2 Si 2.44, 2 Ta 2.56
Ge  0.1425  0.6250  0.2500  2 Si 2.44, 2 Ta 2.56
Ge  0.3750  0.3925  0.7500  2 Si 2.44, 2 Ta 2.56
Si  0.2500  0.7500  0.5000  4 Ge 2.44
Si  0.5000  0.5000  0.0000  4 Ge 2.44
Ta  0.0000  0.0000  0.0000  4 Ge 2.56
Ta  0.7500  0.2500  0.5000  4 Ge 2.56

The calculation puts the total DFT energy (no corrections) at -5.95 eV/atom. As for the space group: I-42d. The value obtained for the total magnetization is 0.0 μB per cell.

6.
Density functional theory data (PBE) for crystalline Ta2Si2Ge at its relaxed geometry.

Lattice parameters (Å, degrees): 6.7500 6.7500 3.4722 90.00 90.00 90.00
With the nearest neighbours (Å) after each atom.
Fractional positions:
Ta  0.1726  0.6726  0.5000  6 Si 2.60-2.68
Ta  0.8274  0.3274  0.5000  6 Si 2.60-2.68
Ta  0.3274  0.1726  0.5000  6 Si 2.60-2.68
Ta  0.6726  0.8274  0.5000  6 Si 2.60-2.68
Si  0.6251  0.1251  0.0000  1 Si 2.39, 6 Ta 2.60-2.68, 2 Ge 2.67
Si  0.3749  0.8749  0.0000  1 Si 2.39, 6 Ta 2.60-2.68, 2 Ge 2.67
Si  0.1251  0.3749  0.0000  1 Si 2.39, 6 Ta 2.60-2.68, 2 Ge 2.67
Si  0.8749  0.6251  0.0000  1 Si 2.39, 6 Ta 2.60-2.68, 2 Ge 2.67
Ge  0.5000  0.5000  0.0000  4 Si 2.67
Ge  0.0000  0.0000  0.0000  4 Si 2.67

The calculation puts the total DFT energy (no corrections) at -7.91 eV/atom. As for the space group: P4/mbm. The value obtained for the total magnetization is 0.0 μB per cell.